DFT (GGA-PBE) results for a relaxed structure of Tl2AgOs.

## Properties
Total magnetic moment   0.00 μB per cell
Relative energy among the computed polymorphs   95 meV per atom
Fermi-level density of states   3.38 states/eV/f.u.
Crystal system   trigonal

Unit cell a=9.6184 b=9.6184 c=9.6184 alpha=18.95 beta=18.95 gamma=18.95
Element x y z (fractional)
Tl: 0.0051 0.0051 0.0051
Tl: 0.4949 0.4949 0.4949
Os: 0.7500 0.7500 0.7500
Ag: 0.2500 0.2500 0.2500